Th2AgPt | PBE | relaxed

Results
- uncorrected energy (eV/atom) = -6.4758
- energy of formation (meV/atom) = -543
- symmetry = P4/mmm

a = 3.658 Å, b = 3.658 Å, c = 7.506 Å
α = 90.00°, β = 90.00°, γ = 90.00°
Element x y z (fractional)
Th: 0.000 0.000 0.231
Th: 0.000 0.000 0.769
Pt: 0.500 0.500 0.000
Ag: 0.500 0.500 0.500